## NaNd2In (PBE-GGA)

Data for an optimized crystal structure of NaNd2In.

The structure in extended XYZ format:
```
4
Lattice="3.630 0.000 0.000 0.000 3.630 0.000 0.000 0.000 9.860" Properties=species:S:1:pos:R:3 pbc="T T T"
Na 0.000 0.000 0.000
Nd 1.815 1.815 2.829
Nd 1.815 1.815 7.031
In 0.000 0.000 4.930
```

The space-group type is P4/mmm, No. 123. Its size of the total moment is 0.0 μB/cell. Its formation energy is -0.125 eV per atom. The value obtained for the total energy is -3.523 eV per atom.



## Sc2CdOs2 (PBE-GGA)

Data for an optimized crystal structure of Sc2CdOs2.

The structure in extended XYZ format:
```
10
Lattice="6.949 0.000 0.000 0.000 6.949 0.000 0.000 0.000 3.987" Properties=species:S:1:pos:R:3 pbc="T T T"
Sc 1.216 2.259 0.000
Sc 2.259 5.733 0.000
Sc 4.691 1.216 0.000
Sc 5.733 4.691 0.000
Cd 0.000 0.000 1.994
Cd 3.475 3.475 1.994
Os 0.856 4.331 1.994
Os 2.618 0.856 1.994
Os 4.331 6.093 1.994
Os 6.093 2.618 1.994
```

The space-group type is P4/mbm, No. 127. Its size of the total moment is 0.0 μB/cell. Its formation energy is -0.072 eV per atom. The value obtained for the total energy is -7.280 eV per atom.



## FeSiP2Pd (PBE-GGA)

Data for an optimized crystal structure of FeSiP2Pd.

The structure in extended XYZ format:
```
5
Lattice="4.458 0.000 0.000 0.000 4.458 0.000 0.000 0.000 4.276" Properties=species:S:1:pos:R:3 pbc="T T T"
Fe 0.000 0.000 0.000
Si 0.000 0.000 2.138
P 0.000 2.229 2.138
P 2.229 0.000 2.138
Pd 2.229 2.229 0.000
```

The space-group type is P4/mmm, No. 123. Its size of the total moment is 2.2 μB/cell. The value obtained for the total energy is -5.157 eV per atom.



Among the records above, which one has the highest size of the total moment? FeSiP2Pd



Which value of size of the total moment does entry 3 give? 2.2 μB/cell